First-principles (PBE+U) data for crystalline Cs2FeCl5O at its relaxed geometry, as listed in Alexandria via LeMat-Bulk.

Cell and atoms, written as CIF:
```
data_Cs2FeCl5O
_chemical_formula_sum 'Cs8 Fe4 Cl20 O4'
_space_group_name_H-M_alt 'C m c m'
_space_group_IT_number 63
_space_group_name_Hall '-C 2c 2'
_cell_length_a 7.224
_cell_length_b 17.730
_cell_length_c 8.668
_cell_angle_alpha 90.00
_cell_angle_beta 90.00
_cell_angle_gamma 90.00
loop_
_atom_site_label
_atom_site_fract_x
_atom_site_fract_y
_atom_site_fract_z
Cs1 0.000 0.025 0.250
Cs2 0.000 0.269 0.750
Fe1 0.000 0.376 0.250
Cl1 0.000 0.246 0.250
Cl2 0.235 0.381 0.054
O1 0.000 0.475 0.250
```

Summary:
The mass density comes out at 3.1 g/cm³. Its calculated total energy is -0.127 Ha/atom. The density of states at the Fermi level is 0.640 states/eV per atom. As for the size of the total moment: 5.02 μB/f.u.